# 1
Compound: AcCeMg
Source: Alexandria via LeMat-Bulk
Functional: GGA-PBE
Structure: relaxed

Calculated values
* relative energy among the computed polymorphs: 0 meV/atom
* ΔE_f: 0.077 eV/atom
* space group: No. 12
* V: 33.01 A^3/atom
* density: 6.6 g/cm³

Cell and atoms, written as CIF:
```
data_AcCeMg
_cell_length_a 6.727
_cell_length_b 6.727
_cell_length_c 9.820
_cell_angle_alpha 120.15
_cell_angle_beta 120.15
_cell_angle_gamma 31.49
_symmetry_space_group_name_H-M 'P 1'
_symmetry_Int_Tables_number 1
loop_
_symmetry_equiv_pos_as_xyz
'x,y,z'
loop_
_atom_site_label
_atom_site_type_symbol
_atom_site_fract_x
_atom_site_fract_y
_atom_site_fract_z
Ac1 Ac 0.092 0.092 0.313
Ac2 Ac 0.908 0.908 0.687
Ce1 Ce 0.328 0.328 0.978
Ce2 Ce 0.672 0.672 0.022
Mg1 Mg 0.373 0.373 0.346
Mg2 Mg 0.627 0.627 0.654
```

# 2
Compound: Sr4HRh
Source: Alexandria via LeMat-Bulk
Functional: GGA-PBE
Structure: relaxed

Calculated values
* uncorrected energy: -18.8 eV/f.u.
* space group: No. 15
* V: 34.56 A^3/atom
* density: 3.6 g/cm³

Cell and atoms, written as CIF:
```
data_Sr4HRh
_cell_length_a 9.254
_cell_length_b 9.254
_cell_length_c 13.821
_cell_angle_alpha 127.20
_cell_angle_beta 127.20
_cell_angle_gamma 26.56
_symmetry_space_group_name_H-M 'P 1'
_symmetry_Int_Tables_number 1
loop_
_symmetry_equiv_pos_as_xyz
'x,y,z'
loop_
_atom_site_label
_atom_site_type_symbol
_atom_site_fract_x
_atom_site_fract_y
_atom_site_fract_z
Sr1 Sr 0.063 0.563 0.185
Sr2 Sr 0.189 0.689 0.575
Sr3 Sr 0.311 0.811 0.925
Sr4 Sr 0.437 0.937 0.315
Sr5 Sr 0.563 0.063 0.685
Sr6 Sr 0.689 0.189 0.075
Sr7 Sr 0.811 0.311 0.425
Sr8 Sr 0.937 0.437 0.815
H1 H 0.248 0.752 0.250
H2 H 0.752 0.248 0.750
Rh1 Rh 0.000 0.500 0.500
Rh2 Rh 0.500 0.000 0.000
```

# 3
Compound: Pr2Sb3AsPd4
Source: Alexandria via LeMat-Bulk
Functional: GGA-PBE
Structure: relaxed

Calculated values
* space group: No. 115
* V: 22.26 A^3/atom
* density: 8.6 g/cm³
* formation energy from raw total energies: -8.40 eV per formula unit

Cell and atoms, written as CIF:
```
data_Pr2Sb3AsPd4
_cell_length_a 4.633
_cell_length_b 4.633
_cell_length_c 10.368
_cell_angle_alpha 90.00
_cell_angle_beta 90.00
_cell_angle_gamma 90.00
_symmetry_space_group_name_H-M 'P 1'
_symmetry_Int_Tables_number 1
loop_
_symmetry_equiv_pos_as_xyz
'x,y,z'
loop_
_atom_site_label
_atom_site_type_symbol
_atom_site_fract_x
_atom_site_fract_y
_atom_site_fract_z
Pr1 Pr 0.000 0.500 0.248
Pr2 Pr 0.500 0.000 0.752
Sb1 Sb 0.000 0.000 0.000
Sb2 Sb 0.000 0.500 0.631
Sb3 Sb 0.500 0.000 0.369
As1 As 0.500 0.500 0.000
Pd1 Pd 0.000 0.000 0.500
Pd2 Pd 0.000 0.500 0.882
Pd3 Pd 0.500 0.000 0.118
Pd4 Pd 0.500 0.500 0.500
```

# 4
Compound: CaTlClO2
Source: Alexandria via LeMat-Bulk
Functional: GGA-PBE
Structure: relaxed

Calculated values
* space group: No. 11
* V: 22.08 A^3/atom
* density: 4.7 g/cm³
* formation energy from raw total energies: -8.16 eV per formula unit

Cell and atoms, written as CIF:
```
data_CaTlClO2
_cell_length_a 6.470
_cell_length_b 4.165
_cell_length_c 8.223
_cell_angle_alpha 90.00
_cell_angle_beta 94.81
_cell_angle_gamma 90.00
_symmetry_space_group_name_H-M 'P 1'
_symmetry_Int_Tables_number 1
loop_
_symmetry_equiv_pos_as_xyz
'x,y,z'
loop_
_atom_site_label
_atom_site_type_symbol
_atom_site_fract_x
_atom_site_fract_y
_atom_site_fract_z
Ca1 Ca 0.203 0.250 0.109
Ca2 Ca 0.797 0.750 0.891
Tl1 Tl 0.075 0.250 0.650
Tl2 Tl 0.925 0.750 0.350
Cl1 Cl 0.467 0.250 0.812
Cl2 Cl 0.533 0.750 0.188
O1 O 0.032 0.750 0.118
O2 O 0.096 0.250 0.394
O3 O 0.904 0.750 0.606
O4 O 0.968 0.250 0.882
```

Which of these has the lowest V?
CaTlClO2

Copy entry 4 word for word.
Compound: CaTlClO2
Source: Alexandria via LeMat-Bulk
Functional: GGA-PBE
Structure: relaxed

Calculated values
* space group: No. 11
* V: 22.08 A^3/atom
* density: 4.7 g/cm³
* formation energy from raw total energies: -8.16 eV per formula unit

Cell and atoms, written as CIF:
```
data_CaTlClO2
_cell_length_a 6.470
_cell_length_b 4.165
_cell_length_c 8.223
_cell_angle_alpha 90.00
_cell_angle_beta 94.81
_cell_angle_gamma 90.00
_symmetry_space_group_name_H-M 'P 1'
_symmetry_Int_Tables_number 1
loop_
_symmetry_equiv_pos_as_xyz
'x,y,z'
loop_
_atom_site_label
_atom_site_type_symbol
_atom_site_fract_x
_atom_site_fract_y
_atom_site_fract_z
Ca1 Ca 0.203 0.250 0.109
Ca2 Ca 0.797 0.750 0.891
Tl1 Tl 0.075 0.250 0.650
Tl2 Tl 0.925 0.750 0.350
Cl1 Cl 0.467 0.250 0.812
Cl2 Cl 0.533 0.750 0.188
O1 O 0.032 0.750 0.118
O2 O 0.096 0.250 0.394
O3 O 0.904 0.750 0.606
O4 O 0.968 0.250 0.882
```

Which of these has the highest density?
Pr2Sb3AsPd4